A geometry-optimized HgBiPd5 structure, computed with PBE.

Computed properties:
Relative energy among the computed polymorphs = 28 meV per atom
V = 18.81 Å³/atom
Formation energy from the elements = -101 kJ/mol of formula units
Space-group type = Cmcm, No. 63
Total moment = 0.00 μB/f.u.
D(E_F) = 0.487 states/eV/atom

```
HgBiPd5
1.0
3.9482 -2.8935 0.0000
3.9482 2.8935 0.0000
0.0000 0.0000 11.5275
Hg Bi Pd
2 2 10
Direct
0.0000 0.0000 0.0000
0.0000 0.0000 0.5000
0.4903 0.5097 0.7500
0.5097 0.4903 0.2500
0.0041 0.9959 0.2500
0.0108 0.4955 0.1228
0.0108 0.4955 0.3772
0.4955 0.0108 0.6228
0.4955 0.0108 0.8772
0.5045 0.9892 0.1228
0.5045 0.9892 0.3772
0.9892 0.5045 0.6228
0.9892 0.5045 0.8772
0.9959 0.0041 0.7500
```